Entry 1:
# PBE ZnReW2, optimized geometry
data_ZnReW2
_chemical_formula_sum 'Zn1 Re1 W2'
_symmetry_space_group_name_H-M 'P 1 m 1'
_symmetry_Int_Tables_number 6
_symmetry_space_group_name_Hall 'P -2y'
_cell_length_a 2.6935
_cell_length_b 4.4440
_cell_length_c 5.2542
_cell_angle_alpha 90.00
_cell_angle_beta 100.39
_cell_angle_gamma 90.00
loop_
_atom_site_label
_atom_site_fract_x
_atom_site_fract_y
_atom_site_fract_z
Zn1 0.0000 0.0000 0.0000
Re1 0.8147 0.5000 0.2572
W1 0.3472 0.5000 0.7676
W2 0.5801 0.0000 0.4949
# Total DFT energy (no corrections) (eV/cell): -38.78
# DFT formation energy (kJ/mol of formula units): 81
# Size of the total moment (μB per formula unit): 0.0
# Calculated volume (Å³/atom): 15.46

Entry 2:
# PBE Zn2ReW, optimized geometry
data_Zn2ReW
_chemical_formula_sum 'Zn2 Re1 W1'
_symmetry_space_group_name_H-M 'P m m m'
_symmetry_Int_Tables_number 47
_symmetry_space_group_name_Hall '-P 2 2'
_cell_length_a 2.6469
_cell_length_b 4.2788
_cell_length_c 5.2838
_cell_angle_alpha 90.00
_cell_angle_beta 90.00
_cell_angle_gamma 90.00
loop_
_atom_site_label
_atom_site_fract_x
_atom_site_fract_y
_atom_site_fract_z
Zn1 0.0000 0.0000 0.2482
Re1 0.5000 0.5000 0.0000
W1 0.5000 0.5000 0.5000
# Total DFT energy (no corrections) (eV/cell): -26.46
# DFT formation energy (kJ/mol of formula units): 143
# Size of the total moment (μB per formula unit): 0.0
# Distance to the lowest polymorph of the same formula (eV per atom): 0.195
# Calculated volume (Å³/atom): 14.96

Entry 3:
# PBE ZnReW2, optimized geometry
data_ZnReW2
_chemical_formula_sum 'Zn2 Re2 W4'
_symmetry_space_group_name_H-M 'C m m m'
_symmetry_Int_Tables_number 65
_symmetry_space_group_name_Hall '-C 2 2'
_cell_length_a 3.1566
_cell_length_b 4.4190
_cell_length_c 8.9296
_cell_angle_alpha 90.00
_cell_angle_beta 90.00
_cell_angle_gamma 90.00
loop_
_atom_site_label
_atom_site_fract_x
_atom_site_fract_y
_atom_site_fract_z
Zn1 0.0000 0.0000 0.0000
Re1 0.0000 0.0000 0.5000
W1 0.0000 0.5000 0.2522
# Total DFT energy (no corrections) (eV/cell): -77.46
# DFT formation energy (kJ/mol of formula units): 87
# Size of the total moment (μB per formula unit): 0.0
# Calculated volume (Å³/atom): 15.57

Entry 4:
# PBE ZnReW2, optimized geometry
data_ZnReW2
_chemical_formula_sum 'Zn1 Re1 W2'
_symmetry_space_group_name_H-M 'P 4/m m m'
_symmetry_Int_Tables_number 123
_symmetry_space_group_name_Hall '-P 4 2'
_cell_length_a 3.2538
_cell_length_b 3.2538
_cell_length_c 5.7789
_cell_angle_alpha 90.00
_cell_angle_beta 90.00
_cell_angle_gamma 90.00
loop_
_atom_site_label
_atom_site_fract_x
_atom_site_fract_y
_atom_site_fract_z
Zn1 0.0000 0.0000 0.0000
Re1 0.0000 0.0000 0.5000
W1 0.5000 0.5000 0.2409
# Total DFT energy (no corrections) (eV/cell): -38.29
# DFT formation energy (kJ/mol of formula units): 129
# Size of the total moment (μB per formula unit): 0.0
# Calculated volume (Å³/atom): 15.30

Entry 5:
# PBE ZnReW2, optimized geometry
data_ZnReW2
_chemical_formula_sum 'Zn2 Re2 W4'
_symmetry_space_group_name_H-M 'I m m 2'
_symmetry_Int_Tables_number 44
_symmetry_space_group_name_Hall 'I 2 -2'
_cell_length_a 3.1584
_cell_length_b 4.4164
_cell_length_c 8.8669
_cell_angle_alpha 90.00
_cell_angle_beta 90.00
_cell_angle_gamma 90.00
loop_
_atom_site_label
_atom_site_fract_x
_atom_site_fract_y
_atom_site_fract_z
Zn1 0.0000 0.0000 0.0000
Re1 0.0000 0.5000 0.7560
W1 0.0000 0.0000 0.4951
W2 0.0000 0.5000 0.2381
# Total DFT energy (no corrections) (eV/cell): -77.36
# DFT formation energy (kJ/mol of formula units): 92
# Size of the total moment (μB per formula unit): 0.0
# Calculated volume (Å³/atom): 15.46

Entry 6:
# PBE Zn3ReW, optimized geometry
data_Zn3ReW
_chemical_formula_sum 'Zn3 Re1 W1'
_symmetry_space_group_name_H-M 'P m -3 m'
_symmetry_Int_Tables_number 221
_symmetry_space_group_name_Hall '-P 4 2 3'
_cell_length_a 4.6984
_cell_length_b 4.6984
_cell_length_c 4.6984
_cell_angle_alpha 90.00
_cell_angle_beta 90.00
_cell_angle_gamma 90.00
loop_
_atom_site_label
_atom_site_fract_x
_atom_site_fract_y
_atom_site_fract_z
Zn1 0.0000 0.0000 0.5000
Re1 0.0000 0.0000 0.0000
W1 0.5000 0.5000 0.5000
# Total DFT energy (no corrections) (eV/cell): -20.25
# DFT formation energy (kJ/mol of formula units): 866
# Size of the total moment (μB per formula unit): 2.7
# Distance to the lowest polymorph of the same formula (eV per atom): 0.000
# Calculated volume (Å³/atom): 20.74

Entry 7:
# PBE ZnReW2, optimized geometry
data_ZnReW2
_chemical_formula_sum 'Zn1 Re1 W2'
_symmetry_space_group_name_H-M 'P 4/m m m'
_symmetry_Int_Tables_number 123
_symmetry_space_group_name_Hall '-P 4 2'
_cell_length_a 2.8040
_cell_length_b 2.8040
_cell_length_c 7.9033
_cell_angle_alpha 90.00
_cell_angle_beta 90.00
_cell_angle_gamma 90.00
loop_
_atom_site_label
_atom_site_fract_x
_atom_site_fract_y
_atom_site_fract_z
Zn1 0.0000 0.0000 0.0000
Re1 0.0000 0.0000 0.5000
W1 0.5000 0.5000 0.2541
# Total DFT energy (no corrections) (eV/cell): -38.39
# DFT formation energy (kJ/mol of formula units): 119
# Size of the total moment (μB per formula unit): 0.0
# Calculated volume (Å³/atom): 15.53

Entry 8:
# PBE Zn2ReW, optimized geometry
data_Zn2ReW
_chemical_formula_sum 'Zn4 Re2 W2'
_symmetry_space_group_name_H-M 'C 1 2/m 1'
_symmetry_Int_Tables_number 12
_symmetry_space_group_name_Hall '-C 2y'
_cell_length_a 5.3210
_cell_length_b 8.8374
_cell_length_c 2.6568
_cell_angle_alpha 90.00
_cell_angle_beta 106.79
_cell_angle_gamma 90.00
loop_
_atom_site_label
_atom_site_fract_x
_atom_site_fract_y
_atom_site_fract_z
Zn1 0.2500 0.2500 0.0000
Re1 0.0000 0.0000 0.5000
W1 0.0000 0.5000 0.5000
# Total DFT energy (no corrections) (eV/cell): -53.68
# DFT formation energy (kJ/mol of formula units): 107
# Size of the total moment (μB per formula unit): 0.0
# Distance to the lowest polymorph of the same formula (eV per atom): 0.101
# Calculated volume (Å³/atom): 14.95

Entry 9:
# PBE Zn2ReW, optimized geometry
data_Zn2ReW
_chemical_formula_sum 'Zn4 Re2 W2'
_symmetry_space_group_name_H-M 'C m m m'
_symmetry_Int_Tables_number 65
_symmetry_space_group_name_Hall '-C 2 2'
_cell_length_a 5.2902
_cell_length_b 8.5813
_cell_length_c 2.6379
_cell_angle_alpha 90.00
_cell_angle_beta 90.00
_cell_angle_gamma 90.00
loop_
_atom_site_label
_atom_site_fract_x
_atom_site_fract_y
_atom_site_fract_z
Zn1 0.2500 0.2500 0.0000
Re1 0.0000 0.0000 0.5000
W1 0.0000 0.5000 0.5000
# Total DFT energy (no corrections) (eV/cell): -52.92
# DFT formation energy (kJ/mol of formula units): 144
# Size of the total moment (μB per formula unit): 0.0
# Distance to the lowest polymorph of the same formula (eV per atom): 0.196
# Calculated volume (Å³/atom): 14.97

Entry 10:
# PBE Zn2ReW, optimized geometry
data_Zn2ReW
_chemical_formula_sum 'Zn4 Re2 W2'
_symmetry_space_group_name_H-M 'C m m 2'
_symmetry_Int_Tables_number 35
_symmetry_space_group_name_Hall 'C 2 -2'
_cell_length_a 3.0546
_cell_length_b 4.4990
_cell_length_c 8.8889
_cell_angle_alpha 90.00
_cell_angle_beta 90.00
_cell_angle_gamma 90.00
loop_
_atom_site_label
_atom_site_fract_x
_atom_site_fract_y
_atom_site_fract_z
Zn1 0.0000 0.0000 0.0000
Zn2 0.0000 0.5000 0.2458
Re1 0.0000 0.0000 0.4984
W1 0.0000 0.5000 0.7443
# Total DFT energy (no corrections) (eV/cell): -54.45
# DFT formation energy (kJ/mol of formula units): 70
# Size of the total moment (μB per formula unit): 0.0
# Distance to the lowest polymorph of the same formula (eV per atom): 0.005
# Calculated volume (Å³/atom): 15.27

Entry 11:
# PBE ZnReW2, optimized geometry
data_ZnReW2
_chemical_formula_sum 'Zn2 Re2 W4'
_symmetry_space_group_name_H-M 'I m m m'
_symmetry_Int_Tables_number 71
_symmetry_space_group_name_Hall '-I 2 2'
_cell_length_a 3.1765
_cell_length_b 4.3747
_cell_length_c 8.8726
_cell_angle_alpha 90.00
_cell_angle_beta 90.00
_cell_angle_gamma 90.00
loop_
_atom_site_label
_atom_site_fract_x
_atom_site_fract_y
_atom_site_fract_z
Zn1 0.0000 0.0000 0.0000
Re1 0.0000 0.0000 0.5000
W1 0.0000 0.5000 0.2406
# Total DFT energy (no corrections) (eV/cell): -77.36
# DFT formation energy (kJ/mol of formula units): 91
# Size of the total moment (μB per formula unit): 0.0
# Calculated volume (Å³/atom): 15.41

Entry 12:
# PBE Zn2ReW, optimized geometry
data_Zn2ReW
_chemical_formula_sum 'Zn8 Re4 W4'
_symmetry_space_group_name_H-M 'F m -3 m'
_symmetry_Int_Tables_number 225
_symmetry_space_group_name_Hall '-F 4 2 3'
_cell_length_a 6.1368
_cell_length_b 6.1368
_cell_length_c 6.1368
_cell_angle_alpha 90.00
_cell_angle_beta 90.00
_cell_angle_gamma 90.00
loop_
_atom_site_label
_atom_site_fract_x
_atom_site_fract_y
_atom_site_fract_z
Zn1 0.2500 0.2500 0.2500
Re1 0.0000 0.0000 0.0000
W1 0.0000 0.0000 0.5000
# Total DFT energy (no corrections) (eV/cell): -102.40
# DFT formation energy (kJ/mol of formula units): 227
# Size of the total moment (μB per formula unit): 0.0
# Distance to the lowest polymorph of the same formula (eV per atom): 0.411
# Calculated volume (Å³/atom): 14.44

Entry 13:
# PBE Zn2ReW, optimized geometry
data_Zn2ReW
_chemical_formula_sum 'Zn2 Re1 W1'
_symmetry_space_group_name_H-M 'P 4/m m m'
_symmetry_Int_Tables_number 123
_symmetry_space_group_name_Hall '-P 4 2'
_cell_length_a 2.6552
_cell_length_b 2.6552
_cell_length_c 8.4783
_cell_angle_alpha 90.00
_cell_angle_beta 90.00
_cell_angle_gamma 90.00
loop_
_atom_site_label
_atom_site_fract_x
_atom_site_fract_y
_atom_site_fract_z
Zn1 0.0000 0.0000 0.2486
Re1 0.5000 0.5000 0.0000
W1 0.5000 0.5000 0.5000
# Total DFT energy (no corrections) (eV/cell): -26.41
# DFT formation energy (kJ/mol of formula units): 148
# Size of the total moment (μB per formula unit): 0.0
# Distance to the lowest polymorph of the same formula (eV per atom): 0.208
# Calculated volume (Å³/atom): 14.94

Entry 14:
# PBE ZnReW2, optimized geometry
data_ZnReW2
_chemical_formula_sum 'Zn1 Re1 W2'
_symmetry_space_group_name_H-M 'P m m m'
_symmetry_Int_Tables_number 47
_symmetry_space_group_name_Hall '-P 2 2'
_cell_length_a 2.8137
_cell_length_b 4.0390
_cell_length_c 5.4253
_cell_angle_alpha 90.00
_cell_angle_beta 90.00
_cell_angle_gamma 90.00
loop_
_atom_site_label
_atom_site_fract_x
_atom_site_fract_y
_atom_site_fract_z
Zn1 0.0000 0.0000 0.0000
Re1 0.0000 0.0000 0.5000
W1 0.5000 0.5000 0.2571
# Total DFT energy (no corrections) (eV/cell): -38.62
# DFT formation energy (kJ/mol of formula units): 97
# Size of the total moment (μB per formula unit): 0.0
# Calculated volume (Å³/atom): 15.41

Entry 15:
# PBE Zn2ReW, optimized geometry
data_Zn2ReW
_chemical_formula_sum 'Zn4 Re2 W2'
_symmetry_space_group_name_H-M 'C m m m'
_symmetry_Int_Tables_number 65
_symmetry_space_group_name_Hall '-C 2 2'
_cell_length_a 3.1139
_cell_length_b 4.3382
_cell_length_c 8.8710
_cell_angle_alpha 90.00
_cell_angle_beta 90.00
_cell_angle_gamma 90.00
loop_
_atom_site_label
_atom_site_fract_x
_atom_site_fract_y
_atom_site_fract_z
Zn1 0.0000 0.0000 0.2475
Re1 0.0000 0.5000 0.0000
W1 0.0000 0.5000 0.5000
# Total DFT energy (no corrections) (eV/cell): -53.50
# DFT formation energy (kJ/mol of formula units): 116
# Size of the total moment (μB per formula unit): 0.0
# Distance to the lowest polymorph of the same formula (eV per atom): 0.124
# Calculated volume (Å³/atom): 14.98